[1]
## PmDy3Ga3 (PBE)

Data for a relaxed PmDy3Ga3 crystal.

Structure (POSCAR):
```
PmDy3Ga3
1.0
9.236 0.000 0.000
-4.618 7.998 0.000
0.000 0.000 4.787
Pm Dy Ga
2 6 6
Cartesian
0.000 5.332 1.197
4.618 2.666 3.590
-3.348 6.091 3.590
1.017 2.053 3.590
2.287 0.146 1.197
2.331 7.852 3.590
3.601 5.945 1.197
7.966 1.907 1.197
-1.547 3.593 3.590
-0.732 7.542 3.590
2.338 3.137 1.197
2.280 4.862 3.590
5.350 0.457 1.197
6.165 4.405 1.197
```

Formation energy from the elements ... -0.44 eV/atom

---

[2]
## PmDyGa (PBE)

Data for a relaxed PmDyGa crystal.

Structure (POSCAR):
```
PmDyGa
1.0
5.005 0.000 0.000
-2.502 4.334 0.000
0.000 0.000 3.741
Pm Dy Ga
1 1 1
Cartesian
0.000 0.000 0.000
0.000 2.890 1.714
2.502 1.445 2.499
```

Formation energy from the elements ... -0.28 eV/atom
Energy above the most stable polymorph in this dataset ... 0.41 eV per formula unit

---

[3]
## Pm2DyGa2 (PBE)

Data for a relaxed Pm2DyGa2 crystal.

Structure (POSCAR):
```
Pm2DyGa2
1.0
5.942 0.000 0.000
0.000 3.976 0.000
-0.477 0.000 11.972
Pm Dy Ga
4 2 4
Cartesian
0.433 0.994 4.388
1.543 0.994 0.780
3.922 2.982 11.192
5.031 2.982 7.584
2.034 0.994 8.459
3.431 2.982 3.513
0.962 2.982 10.357
1.893 2.982 6.175
3.571 0.994 5.797
4.502 0.994 1.615
```

Formation energy from the elements ... -0.36 eV/atom
Energy above the most stable polymorph in this dataset ... 0.76 eV per formula unit

---

[4]
## Pm2Dy5Ga4 (PBE)

Data for a relaxed Pm2Dy5Ga4 crystal.

Structure (POSCAR):
```
Pm2Dy5Ga4
1.0
-1.749 3.779 15.155
1.749 -3.779 15.155
1.749 3.779 -15.155
Pm Dy Ga
2 5 4
Cartesian
0.000 0.000 2.720
0.000 0.000 27.591
1.749 0.000 0.000
1.749 -2.053 9.244
0.000 1.726 5.912
1.749 2.053 9.244
0.000 5.832 5.912
0.000 0.000 8.300
0.000 2.477 0.000
0.000 5.081 0.000
0.000 0.000 22.011
```

Formation energy from the elements ... 0.26 eV/atom

---

[5]
## PmDy3Ga4 (PBE)

Data for a relaxed PmDy3Ga4 crystal.

Structure (POSCAR):
```
PmDy3Ga4
1.0
-1.781 3.409 8.363
1.781 -3.409 8.363
1.781 3.409 -8.363
Pm Dy Ga
1 3 4
Cartesian
0.000 0.000 0.000
1.781 0.000 3.386
0.000 0.000 8.363
0.000 3.409 4.977
1.781 -1.295 6.168
0.000 2.114 2.195
1.781 1.295 6.168
0.000 4.705 2.195
```

Formation energy from the elements ... -0.45 eV/atom
Energy above the most stable polymorph in this dataset ... 1.01 eV per formula unit

---

[6]
## Pm3Dy2Ga4 (PBE)

Data for a relaxed Pm3Dy2Ga4 crystal.

Structure (POSCAR):
```
Pm3Dy2Ga4
1.0
3.561 -7.504 0.000
3.561 7.504 0.000
0.000 0.000 9.058
Pm Dy Ga
6 4 8
Cartesian
0.000 0.000 0.000
1.781 3.270 2.264
1.781 -3.270 6.793
3.561 0.000 4.529
5.342 3.270 2.264
5.342 -3.270 6.793
3.561 5.921 3.960
3.561 1.583 8.488
3.561 -1.583 0.569
3.561 -5.921 5.098
3.561 4.560 0.223
1.781 0.221 2.264
1.781 -0.221 6.793
3.561 2.944 4.752
3.561 -2.944 4.305
5.342 0.221 2.264
5.342 -0.221 6.793
3.561 -4.560 8.834
```

Formation energy from the elements ... -0.36 eV/atom

---

[7]
## PmDy2Ga6 (PBE)

Data for a relaxed PmDy2Ga6 crystal.

Structure (POSCAR):
```
PmDy2Ga6
1.0
7.319 0.000 0.000
-3.659 6.338 0.000
0.000 0.000 4.166
Pm Dy Ga
1 2 6
Cartesian
0.000 0.000 0.000
0.000 4.226 0.000
3.659 2.113 0.000
-1.224 2.119 2.083
-2.436 4.219 2.083
2.447 0.000 2.083
1.224 2.119 2.083
4.872 0.000 2.083
2.436 4.219 2.083
```

Formation energy from the elements ... -0.65 eV/atom
Energy above the most stable polymorph in this dataset ... 0.00 eV per formula unit

---

[8]
## Pm3Dy4Ga4 (PBE)

Data for a relaxed Pm3Dy4Ga4 crystal.

Structure (POSCAR):
```
Pm3Dy4Ga4
1.0
-2.497 3.517 8.396
2.497 -3.517 8.396
2.497 3.517 -8.396
Pm Dy Ga
3 4 4
Cartesian
0.000 0.000 0.000
2.497 0.000 6.693
0.000 3.517 1.704
2.497 1.607 -2.967
2.497 1.607 2.967
0.000 1.910 5.430
0.000 1.910 11.363
0.000 0.000 3.060
2.497 2.162 0.000
0.000 1.355 8.396
0.000 0.000 13.733
```

Formation energy from the elements ... -0.37 eV/atom